1.
VTePI2 | PBE-GGA | optimized geometry

Cell lengths 5.5040, 5.5040, 5.2058 Å; angles 90.00, 90.00, 90.00 degrees
Closest atoms and distances in Å follow each position.
Fractional coordinates of all 5 atoms:
I 0.0000 0.5000 0.0000  2 V 2.75
I 0.5000 0.0000 0.0000  2 V 2.75
P 0.5000 0.5000 0.5000  8 I 3.79, 4 Te 3.89
Te 0.0000 0.0000 0.5000  2 V 2.60
V 0.0000 0.0000 0.0000  2 Te 2.60, 4 I 2.75

Density of states at the Fermi level ... 1.133 states/eV per atom
Energy relative to the elements, uncorrected ... 685.1 meV per atom
Size of the total moment ... 2.49 μB/f.u.


2.
AcYTh | PBE-GGA | optimized geometry

Cell lengths 3.7214, 3.7214, 8.2632 Å; angles 103.01, 103.01, 90.00 degrees
Closest atoms and distances in Å follow each position.
Fractional coordinates of all 3 atoms:
Y 0.3219 0.3219 0.6439  4 Th 3.53, 4 Y 3.72, 4 Ac 3.91
Ac 0.0062 0.0062 0.0124  4 Th 3.70, 4 Ac 3.72, 4 Y 3.91
Th 0.6719 0.6719 0.3437  4 Y 3.53, 4 Ac 3.70, 4 Th 3.72

Density of states at the Fermi level ... 1.674 states/eV per atom
Energy of formation from the pure elements ... 0.08 eV/atom
Size of the total moment ... 0.00 μB/f.u.


Number 1: relative energy among the computed polymorphs 0 meV per atom. Number 2: relative energy among the computed polymorphs 0 meV per atom.